# LaURh4 | Alexandria | PBE-GGA | relaxed
data_LaURh4
_symmetry_space_group_name_H-M 'P 1'
_symmetry_Int_Tables_number 1
_cell_length_a 5.3690
_cell_length_b 5.3690
_cell_length_c 5.3690
_cell_angle_alpha 60.00
_cell_angle_beta 60.00
_cell_angle_gamma 60.00
loop_
_symmetry_equiv_pos_as_xyz
'x,y,z'
loop_
_atom_site_label
_atom_site_type_symbol
_atom_site_fract_x
_atom_site_fract_y
_atom_site_fract_z
U1 U 0.2500 0.2500 0.2500
Rh1 Rh 0.1266 0.6245 0.6245
Rh2 Rh 0.6245 0.6245 0.6245
Rh3 Rh 0.6245 0.1266 0.6245
Rh4 Rh 0.6245 0.6245 0.1266
La1 La 0.0000 0.0000 0.0000
# DOS(E_F)	1.269	states/eV per atom
# calculated density	11.97	g cm⁻³
# E_tot	-0.5968	Ry/atom
# M_tot	2.1	μB/f.u.
# ΔE_f	-516	meV/atom